# PBE-GGA CsFeSCl2, optimized geometry
# Fermi-level density of states	11.98	states/eV per cell
# formation energy from raw total energies	0.78	eV per atom
data_CsFeSCl2
_chemical_formula_sum 'Cs1 Fe1 S1 Cl2'
_cell_length_a 6.138
_cell_length_b 6.138
_cell_length_c 5.565
_cell_angle_alpha 90.00
_cell_angle_beta 90.00
_cell_angle_gamma 90.00
_space_group_name_H-M_alt 'P 4/m m m'
_space_group_IT_number 123
_space_group_name_Hall '-P 4 2'
loop_
_atom_site_label
_atom_site_fract_x
_atom_site_fract_y
_atom_site_fract_z
_atom_site_occupancy
Cs1 0.000 0.000 0.000 1
Fe1 0.500 0.500 0.500 1
S1 0.000 0.000 0.500 1
Cl1 0.000 0.500 0.000 1



# PBE-GGA ZnNiPt, optimized geometry
# final energy	-56.1	eV for the cell shown
# Fermi-level density of states	8.99	states/eV per cell
data_ZnNiPt
_chemical_formula_sum 'Zn4 Ni4 Pt4'
_cell_length_a 3.870
_cell_length_b 3.678
_cell_length_c 11.353
_cell_angle_alpha 90.00
_cell_angle_beta 90.00
_cell_angle_gamma 90.00
_space_group_name_H-M_alt 'A m m 2'
_space_group_IT_number 38
loop_
_space_group_symop_operation_xyz
'x,y,z'
'-x,-y,z'
'-x,y,z'
'x,-y,z'
'x,y+1/2,z+1/2'
'-x,-y+1/2,z+1/2'
'-x,y+1/2,z+1/2'
'x,-y+1/2,z+1/2'
loop_
_atom_site_label
_atom_site_fract_x
_atom_site_fract_y
_atom_site_fract_z
_atom_site_occupancy
Zn1 0.000 0.000 0.000 1
Zn2 0.500 0.000 0.173 1
Ni1 0.000 0.000 0.346 1
Ni2 0.500 0.000 0.504 1
Pt1 0.000 0.000 0.667 1
Pt2 0.500 0.000 0.842 1



# PBE-GGA Cs2PuI4Cl2, optimized geometry
# Fermi-level density of states	14.90	states/eV per cell
# formation energy from raw total energies	-1.44	eV per atom
data_Cs2PuI4Cl2
_chemical_formula_sum 'Cs4 Pu2 I8 Cl4'
_cell_length_a 13.865
_cell_length_b 8.500
_cell_length_c 7.019
_cell_angle_alpha 90.00
_cell_angle_beta 99.28
_cell_angle_gamma 90.00
_space_group_name_H-M_alt 'C 1 2/m 1'
_space_group_IT_number 12
loop_
_space_group_symop_operation_xyz
'x,y,z'
'-x,-y,-z'
'-x,y,-z'
'x,-y,z'
'x+1/2,y+1/2,z'
'-x+1/2,-y+1/2,-z'
'-x+1/2,y+1/2,-z'
'x+1/2,-y+1/2,z'
loop_
_atom_site_label
_atom_site_fract_x
_atom_site_fract_y
_atom_site_fract_z
_atom_site_occupancy
Cs1 0.164 0.000 0.291 1
Pu1 0.000 0.500 0.000 1
I1 0.097 0.247 0.796 1
Cl1 0.148 0.500 0.275 1